Compound: Mg2VCl6
Source: Alexandria
Functional: PBE
Structure: relaxed

Cell: 16.668 3.660 7.734 Å, 90.00 107.84 90.00°
Space group C2/m (No. 12)
One atom of each set of equivalent atoms:
Mg  0.166  0.000  0.331 (multiplicity 4)
V  0.000  0.500  0.000 (multiplicity 2)
Cl  0.008  0.000  0.224 (multiplicity 4)
Cl  0.157  0.500  0.102 (multiplicity 4)
Cl  0.174  0.500  0.561 (multiplicity 4)

Values from the calculation:
calculated total energy	-4.218	eV per atom
magnetic moment	3.00	μB/f.u.
formation energy (no corrections)	-14.6	eV per formula unit